*1*
An optimized crystal structure of SrSi3W, computed with PBE.

Values from the calculation:
**Volume**: 22.349 A^3/atom

CIF file:
```
data_SrSi3W
_chemical_formula_sum 'Sr1 Si3 W1'
_symmetry_space_group_name_H-M 'P m -3 m'
_symmetry_Int_Tables_number 221
_symmetry_space_group_name_Hall '-P 4 2 3'
_cell_length_a 4.8166
_cell_length_b 4.8166
_cell_length_c 4.8166
_cell_angle_alpha 90.00
_cell_angle_beta 90.00
_cell_angle_gamma 90.00
loop_
_atom_site_label
_atom_site_type_symbol
_atom_site_fract_x
_atom_site_fract_y
_atom_site_fract_z
_atom_site_occupancy
Sr1 Sr 0.0000 0.0000 0.0000 1
Si1 Si 0.0000 0.5000 0.5000 1
W1 W 0.5000 0.5000 0.5000 1
```

***

*2*
An optimized crystal structure of SrSi3W, computed with PBE.

Values from the calculation:
**Volume**: 24.722 A^3/atom

CIF file:
```
data_SrSi3W
_chemical_formula_sum 'Sr1 Si3 W1'
_symmetry_space_group_name_H-M 'P m -3 m'
_symmetry_Int_Tables_number 221
_symmetry_space_group_name_Hall '-P 4 2 3'
_cell_length_a 4.9814
_cell_length_b 4.9814
_cell_length_c 4.9814
_cell_angle_alpha 90.00
_cell_angle_beta 90.00
_cell_angle_gamma 90.00
loop_
_atom_site_label
_atom_site_type_symbol
_atom_site_fract_x
_atom_site_fract_y
_atom_site_fract_z
_atom_site_occupancy
Sr1 Sr 0.0000 0.0000 0.0000 1
Si1 Si 0.0000 0.0000 0.5000 1
W1 W 0.5000 0.5000 0.5000 1
```

***

Most stable to least stable, the ends of the list are *1* and *2*.

***

*1*
An optimized crystal structure of SrYSi4, computed with PBE.

Values from the calculation:
**Volume**: 22.199 A^3/atom

CIF file:
```
data_SrYSi4
_chemical_formula_sum 'Sr4 Y4 Si16'
_symmetry_space_group_name_H-M 'P b a m'
_symmetry_Int_Tables_number 55
_cell_length_a 7.6589
_cell_length_b 16.0764
_cell_length_c 4.3270
_cell_angle_alpha 90.00
_cell_angle_beta 90.00
_cell_angle_gamma 90.00
loop_
_symmetry_equiv_pos_as_xyz
'x,y,z'
'-x,-y,-z'
'-x,-y,z'
'x,y,-z'
'x+1/2,-y+1/2,-z'
'-x+1/2,y+1/2,z'
'-x+1/2,y+1/2,-z'
'x+1/2,-y+1/2,z'
loop_
_atom_site_label
_atom_site_type_symbol
_atom_site_fract_x
_atom_site_fract_y
_atom_site_fract_z
_atom_site_occupancy
Sr1 Sr 0.1265 0.1580 0.0000 1
Y1 Y 0.1321 0.4120 0.0000 1
Si1 Si 0.0268 0.6906 0.5000 1
Si2 Si 0.1171 0.9503 0.5000 1
Si3 Si 0.1313 0.5434 0.5000 1
Si4 Si 0.2160 0.8051 0.5000 1
```

***

*2*
An optimized crystal structure of SrYSi4, computed with PBE.

Values from the calculation:
**Volume**: 19.323 A^3/atom

CIF file:
```
data_SrYSi4
_chemical_formula_sum 'Sr4 Y4 Si16'
_symmetry_space_group_name_H-M 'F -4 3 m'
_symmetry_Int_Tables_number 216
_symmetry_space_group_name_Hall 'F -4 2 3'
_cell_length_a 7.7404
_cell_length_b 7.7404
_cell_length_c 7.7404
_cell_angle_alpha 90.00
_cell_angle_beta 90.00
_cell_angle_gamma 90.00
loop_
_atom_site_label
_atom_site_type_symbol
_atom_site_fract_x
_atom_site_fract_y
_atom_site_fract_z
_atom_site_occupancy
Sr1 Sr 0.0000 0.0000 0.0000 1
Y1 Y 0.2500 0.2500 0.7500 1
Si1 Si 0.1189 0.1189 0.3811 1
```

***

Most stable to least stable, the ends of the list are *1* and *2*.

***

*1*
An optimized crystal structure of SrY2Si2, computed with PBE.

Values from the calculation:
**Volume**: 27.320 A^3/atom

CIF file:
```
data_SrY2Si2
_chemical_formula_sum 'Sr2 Y4 Si4'
_symmetry_space_group_name_H-M 'I 4/m m m'
_symmetry_Int_Tables_number 139
_symmetry_space_group_name_Hall '-I 4 2'
_cell_length_a 4.7197
_cell_length_b 4.7197
_cell_length_c 12.2646
_cell_angle_alpha 90.00
_cell_angle_beta 90.00
_cell_angle_gamma 90.00
loop_
_atom_site_label
_atom_site_type_symbol
_atom_site_fract_x
_atom_site_fract_y
_atom_site_fract_z
_atom_site_occupancy
Sr1 Sr 0.0000 0.0000 0.0000 1
Y1 Y 0.0000 0.5000 0.2500 1
Si1 Si 0.0000 0.0000 0.3982 1
```

***

*2*
An optimized crystal structure of SrY2Si2, computed with PBE.

Values from the calculation:
**Volume**: 25.878 A^3/atom

CIF file:
```
data_SrY2Si2
_chemical_formula_sum 'Sr2 Y4 Si4'
_symmetry_space_group_name_H-M 'P 4/m b m'
_symmetry_Int_Tables_number 127
_symmetry_space_group_name_Hall '-P 4 2ab'
_cell_length_a 8.4652
_cell_length_b 8.4652
_cell_length_c 3.6113
_cell_angle_alpha 90.00
_cell_angle_beta 90.00
_cell_angle_gamma 90.00
loop_
_atom_site_label
_atom_site_type_symbol
_atom_site_fract_x
_atom_site_fract_y
_atom_site_fract_z
_atom_site_occupancy
Sr1 Sr 0.0000 0.0000 0.0000 1
Y1 Y 0.1404 0.3596 0.5000 1
Si1 Si 0.1598 0.6598 0.0000 1
```

***

*3*
An optimized crystal structure of SrY2Si2, computed with PBE.

Values from the calculation:
**Volume**: 31.069 A^3/atom

CIF file:
```
data_SrY2Si2
_chemical_formula_sum 'Sr2 Y4 Si4'
_symmetry_space_group_name_H-M 'I 4/m m m'
_symmetry_Int_Tables_number 139
_symmetry_space_group_name_Hall '-I 4 2'
_cell_length_a 5.3245
_cell_length_b 5.3245
_cell_length_c 10.9589
_cell_angle_alpha 90.00
_cell_angle_beta 90.00
_cell_angle_gamma 90.00
loop_
_atom_site_label
_atom_site_type_symbol
_atom_site_fract_x
_atom_site_fract_y
_atom_site_fract_z
_atom_site_occupancy
Sr1 Sr 0.0000 0.0000 0.0000 1
Y1 Y 0.0000 0.0000 0.3272 1
Si1 Si 0.0000 0.5000 0.2500 1
```

***

Most stable to least stable, the ends of the list are *2* and *3*.

***

*1*
An optimized crystal structure of Sr3YSi, computed with PBE.

Values from the calculation:
**Volume**: 51.035 A^3/atom

CIF file:
```
data_Sr3YSi
_chemical_formula_sum 'Sr3 Y1 Si1'
_symmetry_space_group_name_H-M 'P m -3 m'
_symmetry_Int_Tables_number 221
_symmetry_space_group_name_Hall '-P 4 2 3'
_cell_length_a 6.3428
_cell_length_b 6.3428
_cell_length_c 6.3428
_cell_angle_alpha 90.00
_cell_angle_beta 90.00
_cell_angle_gamma 90.00
loop_
_atom_site_label
_atom_site_type_symbol
_atom_site_fract_x
_atom_site_fract_y
_atom_site_fract_z
_atom_site_occupancy
Sr1 Sr 0.0000 0.0000 0.5000 1
Y1 Y 0.0000 0.0000 0.0000 1
Si1 Si 0.5000 0.5000 0.5000 1
```

***

*2*
An optimized crystal structure of Sr3YSi, computed with PBE.

Values from the calculation:
**Volume**: 44.796 A^3/atom

CIF file:
```
data_Sr3YSi
_chemical_formula_sum 'Sr3 Y1 Si1'
_symmetry_space_group_name_H-M 'P m -3 m'
_symmetry_Int_Tables_number 221
_symmetry_space_group_name_Hall '-P 4 2 3'
_cell_length_a 6.0730
_cell_length_b 6.0730
_cell_length_c 6.0730
_cell_angle_alpha 90.00
_cell_angle_beta 90.00
_cell_angle_gamma 90.00
loop_
_atom_site_label
_atom_site_type_symbol
_atom_site_fract_x
_atom_site_fract_y
_atom_site_fract_z
_atom_site_occupancy
Sr1 Sr 0.0000 0.0000 0.5000 1
Y1 Y 0.5000 0.5000 0.5000 1
Si1 Si 0.0000 0.0000 0.0000 1
```

***

Most stable to least stable, the ends of the list are *2* and *1*.

***

*1*
An optimized crystal structure of Sr2ZnSi, computed with PBE.

Values from the calculation:
**Volume**: 33.140 A^3/atom

CIF file:
```
data_Sr2ZnSi
_chemical_formula_sum 'Sr2 Zn1 Si1'
_symmetry_space_group_name_H-M 'P m m 2'
_symmetry_Int_Tables_number 25
_cell_length_a 3.9544
_cell_length_b 5.2095
_cell_length_c 6.4348
_cell_angle_alpha 90.00
_cell_angle_beta 90.00
_cell_angle_gamma 90.00
loop_
_symmetry_equiv_pos_as_xyz
'x,y,z'
'-x,-y,z'
'-x,y,z'
'x,-y,z'
loop_
_atom_site_label
_atom_site_type_symbol
_atom_site_fract_x
_atom_site_fract_y
_atom_site_fract_z
_atom_site_occupancy
Sr1 Sr 0.0000 0.0000 0.0000 1
Sr2 Sr 0.5000 0.5000 0.4986 1
Zn1 Zn 0.5000 0.5000 0.9978 1
Si1 Si 0.0000 0.0000 0.5003 1
```

***

*2*
An optimized crystal structure of Sr2ZnSi, computed with PBE.

Values from the calculation:
**Volume**: 28.165 A^3/atom

CIF file:
```
data_Sr2ZnSi
_chemical_formula_sum 'Sr4 Zn2 Si2'
_symmetry_space_group_name_H-M 'I m m 2'
_symmetry_Int_Tables_number 44
_cell_length_a 3.9363
_cell_length_b 5.0538
_cell_length_c 11.3266
_cell_angle_alpha 90.00
_cell_angle_beta 90.00
_cell_angle_gamma 90.00
loop_
_symmetry_equiv_pos_as_xyz
'x,y,z'
'-x,-y,z'
'-x,y,z'
'x,-y,z'
'x+1/2,y+1/2,z+1/2'
'-x+1/2,-y+1/2,z+1/2'
'-x+1/2,y+1/2,z+1/2'
'x+1/2,-y+1/2,z+1/2'
loop_
_atom_site_label
_atom_site_type_symbol
_atom_site_fract_x
_atom_site_fract_y
_atom_site_fract_z
_atom_site_occupancy
Sr1 Sr 0.0000 0.0000 0.0000 1
Sr2 Sr 0.0000 0.5000 0.2097 1
Zn1 Zn 0.0000 0.5000 0.7940 1
Si1 Si 0.0000 0.0000 0.4345 1
```

***

*3*
An optimized crystal structure of Sr2ZnSi, computed with PBE.

Values from the calculation:
**Volume**: 28.460 A^3/atom

CIF file:
```
data_Sr2ZnSi
_chemical_formula_sum 'Sr8 Zn4 Si4'
_symmetry_space_group_name_H-M 'F m -3 m'
_symmetry_Int_Tables_number 225
_symmetry_space_group_name_Hall '-F 4 2 3'
_cell_length_a 7.6934
_cell_length_b 7.6934
_cell_length_c 7.6934
_cell_angle_alpha 90.00
_cell_angle_beta 90.00
_cell_angle_gamma 90.00
loop_
_atom_site_label
_atom_site_type_symbol
_atom_site_fract_x
_atom_site_fract_y
_atom_site_fract_z
_atom_site_occupancy
Sr1 Sr 0.2500 0.2500 0.2500 1
Zn1 Zn 0.0000 0.0000 0.0000 1
Si1 Si 0.0000 0.0000 0.5000 1
```

***

*4*
An optimized crystal structure of Sr2ZnSi, computed with PBE.

Values from the calculation:
**Volume**: 29.987 A^3/atom

CIF file:
```
data_Sr2ZnSi
_chemical_formula_sum 'Sr4 Zn2 Si2'
_symmetry_space_group_name_H-M 'A m m 2'
_symmetry_Int_Tables_number 38
_cell_length_a 4.3616
_cell_length_b 4.6774
_cell_length_c 11.7591
_cell_angle_alpha 90.00
_cell_angle_beta 90.00
_cell_angle_gamma 90.00
loop_
_symmetry_equiv_pos_as_xyz
'x,y,z'
'-x,-y,z'
'-x,y,z'
'x,-y,z'
'x,y+1/2,z+1/2'
'-x,-y+1/2,z+1/2'
'-x,y+1/2,z+1/2'
'x,-y+1/2,z+1/2'
loop_
_atom_site_label
_atom_site_type_symbol
_atom_site_fract_x
_atom_site_fract_y
_atom_site_fract_z
_atom_site_occupancy
Sr1 Sr 0.0000 0.0000 0.0000 1
Sr2 Sr 0.5000 0.0000 0.2828 1
Zn1 Zn 0.0000 0.0000 0.6917 1
Si1 Si 0.5000 0.0000 0.5778 1
```

***

Most stable to least stable, the ends of the list are *4* and *1*.